A geometry-optimized BaHfBr2 structure, computed with GGA-PBE.

Cell: 9.9630 9.9630 9.9630 Å, 147.72 147.72 46.29°
With the nearest neighbours (Å) after each atom.
Element x y z (fractional)
Ba  0.0000  0.0000  0.0000  4 Br 3.25
Ba  0.7500  0.2500  0.5000  4 Br 3.25
Hf  0.2500  0.7500  0.5000  4 Br 2.83
Hf  0.5000  0.5000  0.0000  4 Br 2.83
Br  0.2088  0.6250  0.0838  2 Hf 2.83
Br  0.3750  0.4588  0.5838  2 Hf 2.83
Br  0.5412  0.1250  0.9162  2 Hf 2.83
Br  0.8750  0.7912  0.4162  2 Hf 2.83

Values from the calculation:
The formation energy (no corrections) comes out at -0.43 eV/atom. As for the spin magnetization: 0.355 μB per atom. Its space-group type is I-42d. The density is 5.6 g/cm3. The value obtained for the distance to the lowest polymorph of the same formula is 97 meV/atom.


A geometry-optimized SiH2Br structure, computed with GGA-PBE.

Cell: 3.2965 3.1862 7.7165 Å, 90.00 101.07 90.00°
With the nearest neighbours (Å) after each atom.
Element x y z (fractional)
Si  0.0000  0.0000  0.0000  2 Br 2.49
H  0.2925  0.5000  0.6635  1 H 0.75
H  0.3209  0.5000  0.5690  1 H 0.75
Br  0.6090  0.0000  0.2462  2 Si 2.49

Values from the calculation:
As for the spin magnetization: 0.000 μB per atom. Its space-group type is Pm. The density is 2.3 g/cm3. The value obtained for the distance to the lowest polymorph of the same formula is 188 meV/atom.